No. 1
The following is a PBE-GGA calculation of Rb2Tl12In after structural relaxation, from Alexandria.

a b c (Å): 7.1958 7.1958 20.5912
angles (deg): 90.00 90.00 90.00
With the nearest neighbours (Å) after each atom.
Element x y z (fractional)
Tl1 0.7496 0.7504 0.9090  2 In 3.16, 2 Tl 3.23
Tl2 0.5000 0.5000 0.6564  5 Tl 3.22-3.29
Tl3 0.6640 0.8360 0.5645  6 Tl 3.18-3.55
Tl4 0.2496 0.2504 0.0910  2 In 3.16, 2 Tl 3.23
Tl5 0.8360 0.3360 0.5645  6 Tl 3.18-3.55
Tl6 0.7496 0.2496 0.0910  2 In 3.16, 2 Tl 3.23
Tl7 0.6640 0.1640 0.4355  6 Tl 3.18-3.55
Tl8 0.5000 0.5000 0.1874  5 Tl 3.22-3.23
Tl9 0.0000 0.0000 0.8126  5 Tl 3.22-3.23
Tl10 0.7504 0.7496 0.0910  2 In 3.16, 2 Tl 3.23
Tl11 0.0000 0.0000 0.1874  5 Tl 3.22-3.23
Tl12 0.3360 0.8360 0.4355  6 Tl 3.18-3.55
Tl13 0.5000 0.5000 0.3436  5 Tl 3.22-3.29
Tl14 0.8360 0.6640 0.4355  6 Tl 3.18-3.55
Tl15 0.5000 0.5000 0.8126  5 Tl 3.22-3.23
Tl16 0.0000 0.0000 0.3436  5 Tl 3.22-3.29
Tl17 0.3360 0.1640 0.5645  6 Tl 3.18-3.55
Tl18 0.1640 0.3360 0.4355  6 Tl 3.18-3.55
Tl19 0.1640 0.6640 0.5645  6 Tl 3.18-3.55
Tl20 0.2504 0.2496 0.9090  2 In 3.16, 2 Tl 3.23
Tl21 0.2504 0.7504 0.0910  2 In 3.16, 2 Tl 3.23
Tl22 0.7504 0.2504 0.9090  2 In 3.16, 2 Tl 3.23
Tl23 0.2496 0.7496 0.9090  2 In 3.16, 2 Tl 3.23
Tl24 0.0000 0.0000 0.6564  5 Tl 3.22-3.29
In1 0.0000 0.5000 0.0000  8 Tl 3.16
In2 0.5000 0.0000 0.0000  8 Tl 3.16
Rb1 0.0000 0.5000 0.2545  14 Tl 3.85-4.22
Rb2 0.5000 0.0000 0.7455  14 Tl 3.85-4.22
Rb3 0.0000 0.5000 0.7455  14 Tl 3.85-4.22
Rb4 0.5000 0.0000 0.2545  14 Tl 3.85-4.22

Results
DOS(E_F)	16.23	states/eV per cell
calculated formation energy	5.9	meV per atom
total moment	0.00	μB/atom
theoretical density	8.53	g cm⁻³



No. 2
The following is a PBE-GGA calculation of CaTbCuPt after structural relaxation, from Alexandria.

a b c (Å): 4.9482 4.9482 4.9482
angles (deg): 60.00 60.00 60.00
With the nearest neighbours (Å) after each atom.
Element x y z (fractional)
Ca1 0.5000 0.5000 0.5000  4 Pt 3.03, 4 Cu 3.03
Tb1 0.0000 0.0000 0.0000  4 Cu 3.03, 4 Pt 3.03
Pt1 0.7500 0.7500 0.7500  4 Tb 3.03, 4 Ca 3.03
Cu1 0.2500 0.2500 0.2500  4 Ca 3.03, 4 Tb 3.03

Results
DOS(E_F)	2.59	states/eV per cell
E above lowest polymorph	57	meV per atom
calculated formation energy	-629.5	meV per atom
total moment	0.00	μB/atom
theoretical density	8.87	g cm⁻³